NaZnH8Rh2 | PBE | relaxed

POSCAR file:
```
NaZnH8Rh2
1.0
2.3960 1.3833 5.5515
-2.3960 1.3833 5.5515
0.0000 -2.7667 5.5515
Na Zn H Rh
1 1 8 2
direct
0.0000 0.0000 0.0000
0.5000 0.5000 0.5000
0.0912 0.8264 0.4171
0.1736 0.5828 0.9088
0.2939 0.2939 0.2939
0.4172 0.0912 0.8264
0.5829 0.9088 0.1736
0.7061 0.7061 0.7061
0.8264 0.4172 0.0912
0.9088 0.1736 0.5828
0.1973 0.1973 0.1973
0.8027 0.8027 0.8027
```

Values from the calculation:
Electronic total energy (hartree per atom): -0.1363
DOS at the Fermi energy (states/eV per atom): 0.138
Space-group type: R-3 (148)

***

NaZrHRh2 | PBE | relaxed

POSCAR file:
```
NaZrHRh2
1.0
4.7750 0.0000 0.0000
0.0000 4.7750 0.0000
0.0000 0.0000 3.3930
Na Zr H Rh
1 1 1 2
direct
0.0000 0.0000 0.0000
0.5000 0.5000 0.5000
0.0000 0.0000 0.5000
0.0000 0.5000 0.0000
0.5000 0.0000 0.0000
```

Values from the calculation:
Electronic total energy (hartree per atom): -0.1787
DOS at the Fermi energy (states/eV per atom): 0.233
Space-group type: P4/mmm (123)

***

NaZrH2Rh | PBE | relaxed

POSCAR file:
```
NaZrH2Rh
1.0
3.9374 0.0000 0.0000
0.0000 3.9374 0.0000
0.0000 0.0000 4.9367
Na Zr H Rh
1 1 2 1
direct
0.0000 0.0000 0.0000
0.5000 0.5000 0.0000
0.0000 0.5000 0.5000
0.5000 0.0000 0.5000
0.5000 0.5000 0.5000
```

Values from the calculation:
Electronic total energy (hartree per atom): -0.1548
DOS at the Fermi energy (states/eV per atom): 0.034
Space-group type: P4/mmm (123)

***

NaH8Ru2 | PBE | relaxed

POSCAR file:
```
NaH8Ru2
1.0
4.3165 -2.7407 0.0000
4.3165 2.7407 0.0000
-0.0097 0.0000 3.4174
Na H Ru
1 8 2
direct
0.0000 0.0000 0.0000
0.0364 0.6694 0.4994
0.2816 0.2816 0.0020
0.3306 0.9636 0.5006
0.4992 0.4992 0.2586
0.5008 0.5008 0.7414
0.6694 0.0364 0.4994
0.7184 0.7184 0.9980
0.9636 0.3306 0.5006
0.3191 0.3191 0.5008
0.6809 0.6809 0.4992
```

Values from the calculation:
Electronic total energy (hartree per atom): -0.1548
DOS at the Fermi energy (states/eV per atom): 0.440
Space-group type: C2/m (12)

***

Na2H6Ru | PBE | relaxed

POSCAR file:
```
Na2H6Ru
1.0
2.6400 -4.8811 0.0000
2.6400 4.8811 0.0000
-0.0054 0.0000 6.0614
Na H Ru
4 12 2
direct
0.1552 0.8439 0.9973
0.1561 0.8448 0.5027
0.8439 0.1552 0.4973
0.8448 0.1561 0.0027
0.1197 0.4988 0.7496
0.1973 0.2117 0.2500
0.2117 0.1973 0.7500
0.4108 0.5888 0.0514
0.4112 0.5892 0.4486
0.4988 0.1197 0.2496
0.5012 0.8803 0.7504
0.5888 0.4108 0.5514
0.5892 0.4112 0.9486
0.7883 0.8027 0.2500
0.8027 0.7883 0.7500
0.8803 0.5012 0.2504
0.4492 0.5508 0.7500
0.5508 0.4492 0.2500
```

Values from the calculation:
Electronic total energy (hartree per atom): -0.1367
Space-group type: C2/c (15)

***

Na4H6Ru | PBE | relaxed

POSCAR file:
```
Na4H6Ru
1.0
4.5201 2.6097 3.7649
-4.5201 2.6097 3.7649
0.0000 -5.2194 3.7649
Na H Ru
8 12 2
direct
0.1273 0.7500 0.3727
0.2500 0.2500 0.2500
0.2500 0.6273 0.8727
0.3727 0.1273 0.7500
0.6273 0.8727 0.2500
0.7500 0.3727 0.1273
0.7500 0.7500 0.7500
0.8727 0.2500 0.6273
0.0526 0.9421 0.7402
0.0579 0.2598 0.9474
0.2402 0.4421 0.5526
0.2598 0.9474 0.0579
0.4421 0.5526 0.2402
0.4474 0.7598 0.5579
0.5526 0.2402 0.4421
0.5579 0.4474 0.7598
0.7402 0.0526 0.9421
0.7598 0.5579 0.4474
0.9421 0.7402 0.0526
0.9474 0.0579 0.2598
0.0000 0.0000 0.0000
0.5000 0.5000 0.5000
```

Values from the calculation:
Electronic total energy (hartree per atom): -0.1261
DOS at the Fermi energy (states/eV per atom): 0.000
Space-group type: R-3c (167)

***

NaHRu3 | PBE | relaxed

POSCAR file:
```
NaHRu3
1.0
4.6740 0.0000 0.0000
0.0000 4.6740 0.0000
0.0000 0.0000 4.6740
Na H Ru
1 1 3
direct
0.0000 0.0000 0.0000
0.5000 0.5000 0.5000
0.0000 0.0000 0.5000
0.0000 0.5000 0.0000
0.5000 0.0000 0.0000
```

Values from the calculation:
E above lowest polymorph (eV per formula unit): 11.61
DOS at the Fermi energy (states/eV per atom): 1.025
Space-group type: Pm-3m (221)

***

NaHRu3 | PBE | relaxed

POSCAR file:
```
NaHRu3
1.0
3.9693 0.0000 0.0000
0.0000 3.9693 0.0000
0.0000 0.0000 3.9693
Na H Ru
1 1 3
direct
0.0000 0.0000 0.0000
0.5000 0.5000 0.5000
0.0000 0.5000 0.5000
0.5000 0.0000 0.5000
0.5000 0.5000 0.0000
```

Values from the calculation:
E above lowest polymorph (eV per formula unit): 0.00
DOS at the Fermi energy (states/eV per atom): 1.345
Space-group type: Pm-3m (221)

***

NaH3Ru | PBE | relaxed

POSCAR file:
```
NaH3Ru
1.0
3.5204 0.0000 0.0000
0.0000 3.5204 0.0000
0.0000 0.0000 3.5204
Na H Ru
1 3 1
direct
0.0000 0.0000 0.0000
0.0000 0.5000 0.5000
0.5000 0.0000 0.5000
0.5000 0.5000 0.0000
0.5000 0.5000 0.5000
```

Values from the calculation:
E above lowest polymorph (eV per formula unit): 0.00
DOS at the Fermi energy (states/eV per atom): 0.511
Space-group type: Pm-3m (221)

***

NaH3Ru | PBE | relaxed

POSCAR file:
```
NaH3Ru
1.0
4.8864 -1.6220 0.0000
4.8864 1.6220 0.0000
-0.7313 0.0000 5.8059
Na H Ru
2 6 2
direct
0.1167 0.1167 0.3857
0.8833 0.8833 0.6143
0.1981 0.1981 0.8627
0.3323 0.3323 0.3518
0.4594 0.4594 0.8153
0.5406 0.5406 0.1847
0.6677 0.6677 0.6482
0.8019 0.8019 0.1373
0.3690 0.3690 0.0868
0.6310 0.6310 0.9132
```

Values from the calculation:
E above lowest polymorph (eV per formula unit): 0.23
DOS at the Fermi energy (states/eV per atom): 0.227
Space-group type: C2/m (12)

***

NaH3Ru | PBE | relaxed

POSCAR file:
```
NaH3Ru
1.0
3.4573 0.0000 0.0000
0.0000 3.4573 0.0000
0.0000 0.0000 3.4573
Na H Ru
1 3 1
direct
0.0000 0.0000 0.0000
0.0000 0.0000 0.5000
0.0000 0.5000 0.0000
0.5000 0.0000 0.0000
0.5000 0.5000 0.5000
```

Values from the calculation:
E above lowest polymorph (eV per formula unit): 5.65
DOS at the Fermi energy (states/eV per atom): 0.225
Space-group type: Pm-3m (221)

***

Na2H6Ru | PBE | relaxed

POSCAR file:
```
Na2H6Ru
1.0
4.4128 0.0000 0.0000
0.0000 4.4128 0.0000
0.0000 0.0000 10.2262
Na H Ru
4 12 2
direct
0.0000 0.0000 0.1599
0.0000 0.0000 0.8401
0.5000 0.5000 0.3401
0.5000 0.5000 0.6599
0.1512 0.1512 0.3616
0.1512 0.1512 0.6384
0.2287 0.2287 0.0000
0.2713 0.7287 0.5000
0.3488 0.6512 0.1384
0.3488 0.6512 0.8616
0.6512 0.3488 0.1384
0.6512 0.3488 0.8616
0.7287 0.2713 0.5000
0.7713 0.7713 0.0000
0.8488 0.8488 0.3616
0.8488 0.8488 0.6384
0.0000 0.0000 0.5000
0.5000 0.5000 0.0000
```

Values from the calculation:
Electronic total energy (hartree per atom): -0.1245
DOS at the Fermi energy (states/eV per atom): 0.309
Space-group type: P4_2/mnm (136)

***

no.,V (Å³/atom),ρ (g/cm³),magnetic moment (μB/f.u.)
1,9.20,4.55,0.0
2,15.47,6.89,0.0
3,15.31,4.75,0.0
4,7.35,4.79,0.0
5,8.68,3.25,0.0
6,12.11,2.48,0.1
7,20.42,5.32,7.7
8,12.51,8.69,1.6
9,8.73,4.84,0.0
10,9.20,4.59,0.0
11,8.27,5.11,0.0
12,11.06,2.55,1.9